Here is crystalline Pm8DyY6 at its relaxed geometry from the Alexandria database. Energies are from PBE-GGA.

Cell lengths 9.4514, 9.4514, 6.5820 Å; angles 90.00, 90.00, 120.00 degrees
Space group P-3 (No. 147)
Asymmetric unit:
1 Pm 0.0369 0.7522 0.1660 [6 per cell]
2 Pm 0.3333 0.6667 0.1226 [2 per cell]
3 Dy 0.0000 0.0000 0.5000 [1 per cell]
4 Y 0.0931 0.6561 0.6590 [6 per cell]

Summary:
Offset from the most stable computed form: 53 meV per atom
ΔE_f: 16.14 kJ per mole of atoms
Raw total energy: -5.259 eV/atom